A plane-wave DFT calculation with GGA-PBE was carried out for a relaxed structure of CaNiRh2.

abc: 4.050 4.050 9.387
angles: 77.54 77.54 90.00
Fractional coordinates of all 8 atoms:
Ni (0.000, 0.000, 0.000)
Ca (0.250, 0.750, 0.500)
Rh (0.049, 0.625, 0.250)
Ca (0.500, 0.500, 0.000)
Rh (0.701, 0.125, 0.250)
Ni (0.750, 0.250, 0.500)
Rh (0.875, 0.951, 0.750)
Rh (0.375, 0.299, 0.750)

crystal system	tetragonal
calculated total energy	-5.37	eV/atom
ΔE_f	0.250	eV per atom
total magnetic moment	0.0	μB per formula unit
excess energy over the best structure of this formula in the dataset	246	meV/atom



A plane-wave DFT calculation with GGA-PBE was carried out for a relaxed structure of TcSnIrOsS.

abc: 4.063 2.981 6.698
angles: 90.00 99.87 90.00
Fractional coordinates of all 5 atoms:
S (0.626, 0.500, 0.133)
Os (0.246, 0.000, 0.211)
Sn (0.423, 0.000, 0.672)
Ir (0.892, 0.500, 0.466)
Tc (0.961, 0.500, 0.889)

crystal system	monoclinic
calculated total energy	-7.50	eV/atom
formation energy from raw total energies	0.217	eV per atom
total magnetic moment	0.0	μB per formula unit
excess energy over the best structure of this formula in the dataset	151	meV/atom